1.
# ZnCuTe

A relaxed ZnCuTe crystal (GGA-PBE, Alexandria via LeMat-Bulk).

Calculated values
SG = P-1 (2)
crystal system = triclinic
excess energy over the best structure of this formula in the dataset = 0.000 eV per formula unit
formation energy from raw total energies = -103 meV/atom
raw total energy = -2.9400 eV/atom

Cell: 4.150 4.158 9.056 Å, 104.24 103.60 60.03°
Fractional coordinates of all 6 atoms:
Zn 0.306 0.300 0.408
Te 0.899 0.884 0.186
Zn 0.694 0.700 0.592
Cu 0.605 0.594 0.303
Cu 0.395 0.406 0.697
Te 0.101 0.116 0.814



2.
# ZnCuTe

A relaxed ZnCuTe crystal (GGA-PBE, Alexandria via LeMat-Bulk).

Calculated values
SG = P3m1 (156)
crystal system = trigonal
excess energy over the best structure of this formula in the dataset = 0.564 eV per formula unit
formation energy from raw total energies = 85 meV/atom
raw total energy = -2.7520 eV/atom

Cell: 4.133 4.133 4.092 Å, 90.00 90.00 120.00°
Fractional coordinates of all 3 atoms:
Cu 0.000 0.000 0.991
Zn 0.333 0.667 0.734
Te 0.667 0.333 0.275



3.
# ZnCu3Te

A relaxed ZnCu3Te crystal (GGA-PBE, Alexandria via LeMat-Bulk).

Calculated values
SG = Pm-3m (221)
crystal system = cubic
excess energy over the best structure of this formula in the dataset = 0.000 eV per formula unit
formation energy from raw total energies = 563 meV/atom
raw total energy = -2.7777 eV/atom

Cell: 4.538 4.538 4.538 Å, 90.00 90.00 90.00°
Fractional coordinates of all 5 atoms:
Te 0.500 0.500 0.500
Cu 0.000 0.500 0.000
Zn 0.000 0.000 0.000
Cu 0.000 0.000 0.500
Cu 0.500 0.000 0.000



4.
# ZnCuTe

A relaxed ZnCuTe crystal (GGA-PBE, Alexandria via LeMat-Bulk).

Calculated values
SG = I4mm (107)
crystal system = tetragonal
excess energy over the best structure of this formula in the dataset = 0.949 eV per formula unit
formation energy from raw total energies = 214 meV/atom
raw total energy = -2.6236 eV/atom

Cell: 4.811 4.811 4.811 Å, 132.05 132.06 70.14°
Fractional coordinates of all 3 atoms:
Cu 0.991 0.991 0.000
Zn 0.678 0.678 0.000
Te 0.331 0.331 0.000



5.
# ZnCuTe4

A relaxed ZnCuTe4 crystal (GGA-PBE, Alexandria via LeMat-Bulk).

Calculated values
SG = F-43m (216)
crystal system = cubic
formation energy from raw total energies = 685 meV/atom
raw total energy = -2.3044 eV/atom

Cell: 6.338 6.338 6.338 Å, 60.00 60.00 60.00°
Fractional coordinates of all 6 atoms:
Zn 0.750 0.750 0.750
Te 0.375 0.375 0.874
Te 0.375 0.375 0.375
Te 0.874 0.375 0.375
Cu 0.000 0.000 0.000
Te 0.375 0.874 0.375



6.
# ZnCu2Te2

A relaxed ZnCu2Te2 crystal (GGA-PBE, Alexandria via LeMat-Bulk).

Calculated values
SG = P4/mbm (127)
crystal system = tetragonal
excess energy over the best structure of this formula in the dataset = 0.824 eV per formula unit
formation energy from raw total energies = 220 meV/atom
raw total energy = -2.9303 eV/atom

Cell: 7.588 7.588 3.685 Å, 90.00 90.00 90.00°
Fractional coordinates of all 10 atoms:
Zn 0.000 0.000 0.000
Cu 0.615 0.885 0.500
Cu 0.885 0.385 0.500
Cu 0.115 0.615 0.500
Te 0.310 0.810 0.000
Te 0.690 0.190 0.000
Te 0.190 0.310 0.000
Zn 0.500 0.500 0.000
Cu 0.385 0.115 0.500
Te 0.810 0.690 0.000



7.
# ZnCuTe

A relaxed ZnCuTe crystal (GGA-PBE, Alexandria via LeMat-Bulk).

Calculated values
SG = Fmm2 (42)
crystal system = orthorhombic
excess energy over the best structure of this formula in the dataset = 1.153 eV per formula unit
formation energy from raw total energies = 282 meV/atom
raw total energy = -2.5558 eV/atom

Cell: 6.549 6.421 3.142 Å, 78.26 73.72 28.02°
Fractional coordinates of all 3 atoms:
Cu 0.017 0.017 0.983
Zn 0.634 0.634 0.366
Te 0.350 0.350 0.650



8.
# ZnCuTe

A relaxed ZnCuTe crystal (GGA-PBE, Alexandria via LeMat-Bulk).

Calculated values
SG = I4mm (107)
crystal system = tetragonal
excess energy over the best structure of this formula in the dataset = 1.108 eV per formula unit
formation energy from raw total energies = 267 meV/atom
raw total energy = -2.5705 eV/atom

Cell: 6.743 6.743 6.743 Å, 153.50 153.50 37.83°
Fractional coordinates of all 3 atoms:
Te 0.350 0.350 0.000
Zn 0.626 0.626 0.000
Cu 0.024 0.024 0.000



9.
# ZnCu2Te3

A relaxed ZnCu2Te3 crystal (GGA-PBE, Alexandria via LeMat-Bulk).

Calculated values
SG = Cc (9)
crystal system = monoclinic
formation energy from raw total energies = -151 meV/atom
raw total energy = -3.2996 eV/atom

Cell: 7.324 7.324 7.339 Å, 99.59 99.59 119.94°
Fractional coordinates of all 12 atoms:
Te 0.544 0.710 0.878
Cu 0.759 0.263 0.509
Te 0.398 0.884 0.379
Cu 0.597 0.432 0.009
Te 0.710 0.544 0.378
Te 0.884 0.398 0.879
Zn 0.097 0.926 0.506
Cu 0.263 0.759 0.009
Te 0.055 0.231 0.390
Cu 0.432 0.597 0.509
Zn 0.926 0.097 0.006
Te 0.231 0.055 0.890



10.
# Zn3CuTe

A relaxed Zn3CuTe crystal (GGA-PBE, Alexandria via LeMat-Bulk).

Calculated values
SG = Pm-3m (221)
crystal system = cubic
excess energy over the best structure of this formula in the dataset = 0.000 eV per formula unit
formation energy from raw total energies = 247 meV/atom
raw total energy = -1.9652 eV/atom

Cell: 4.716 4.716 4.716 Å, 90.00 90.00 90.00°
Fractional coordinates of all 5 atoms:
Zn 0.500 0.000 0.000
Cu 0.000 0.000 0.000
Te 0.500 0.500 0.500
Zn 0.000 0.500 0.000
Zn 0.000 0.000 0.500



11.
# ZnCuTe

A relaxed ZnCuTe crystal (GGA-PBE, Alexandria via LeMat-Bulk).

Calculated values
SG = F-43m (216)
crystal system = cubic
excess energy over the best structure of this formula in the dataset = 0.381 eV per formula unit
formation energy from raw total energies = 24 meV/atom
raw total energy = -2.8130 eV/atom

Cell: 4.438 4.438 4.438 Å, 60.00 60.00 60.00°
Fractional coordinates of all 3 atoms:
Cu 0.250 0.250 0.250
Zn 0.500 0.500 0.500
Te 0.000 0.000 0.000



12.
# ZnCu3Te

A relaxed ZnCu3Te crystal (GGA-PBE, Alexandria via LeMat-Bulk).

Calculated values
SG = Pm-3m (221)
crystal system = cubic
excess energy over the best structure of this formula in the dataset = 0.712 eV per formula unit
formation energy from raw total energies = 706 meV/atom
raw total energy = -2.6353 eV/atom

Cell: 4.940 4.940 4.940 Å, 90.00 90.00 90.00°
Fractional coordinates of all 5 atoms:
Cu 0.000 0.000 0.500
Cu 0.000 0.500 0.000
Zn 0.500 0.500 0.500
Cu 0.500 0.000 0.000
Te 0.000 0.000 0.000



13.
# ZnCu2Te2

A relaxed ZnCu2Te2 crystal (GGA-PBE, Alexandria via LeMat-Bulk).

Calculated values
SG = I4/mmm (139)
crystal system = tetragonal
excess energy over the best structure of this formula in the dataset = 0.000 eV per formula unit
formation energy from raw total energies = 55 meV/atom
raw total energy = -3.0950 eV/atom

Cell: 3.813 3.813 7.937 Å, 76.10 76.10 90.00°
Fractional coordinates of all 5 atoms:
Cu 0.750 0.250 0.500
Te 0.373 0.373 0.254
Cu 0.250 0.750 0.500
Zn 0.000 0.000 0.000
Te 0.627 0.627 0.746



14.
# ZnCu2Te2

A relaxed ZnCu2Te2 crystal (GGA-PBE, Alexandria via LeMat-Bulk).

Calculated values
SG = P4/mbm (127)
crystal system = tetragonal
excess energy over the best structure of this formula in the dataset = 0.713 eV per formula unit
formation energy from raw total energies = 197 meV/atom
raw total energy = -2.9525 eV/atom

Cell: 7.209 7.209 3.763 Å, 90.00 90.00 90.00°
Fractional coordinates of all 10 atoms:
Te 0.681 0.819 0.500
Cu 0.123 0.377 0.000
Cu 0.623 0.123 0.000
Te 0.319 0.181 0.500
Cu 0.377 0.877 0.000
Zn 0.500 0.500 0.000
Zn 0.000 0.000 0.000
Te 0.181 0.681 0.500
Cu 0.877 0.623 0.000
Te 0.819 0.319 0.500



15.
# Zr2CuTe2

A relaxed Zr2CuTe2 crystal (GGA-PBE, Alexandria via LeMat-Bulk).

Calculated values
SG = P4/mbm (127)
crystal system = tetragonal
formation energy from raw total energies = -450 meV/atom
raw total energy = -5.9452 eV/atom

Cell: 7.700 7.700 3.838 Å, 90.00 90.00 90.00°
Fractional coordinates of all 10 atoms:
Cu 0.000 0.000 0.000
Te 0.349 0.151 0.500
Cu 0.500 0.500 0.000
Te 0.151 0.651 0.500
Zr 0.648 0.148 0.000
Zr 0.352 0.852 0.000
Zr 0.148 0.352 0.000
Te 0.849 0.349 0.500
Te 0.651 0.849 0.500
Zr 0.852 0.648 0.000



16.
# ZrCuTe

A relaxed ZrCuTe crystal (GGA-PBE, Alexandria via LeMat-Bulk).

Calculated values
SG = P3m1 (156)
crystal system = trigonal
excess energy over the best structure of this formula in the dataset = 0.998 eV per formula unit
formation energy from raw total energies = -151 meV/atom
raw total energy = -5.4128 eV/atom

Cell: 4.366 4.366 3.732 Å, 90.00 90.00 120.00°
Fractional coordinates of all 3 atoms:
Cu 0.000 0.000 0.008
Te 0.667 0.333 0.256
Zr 0.333 0.667 0.736



17.
# ZrCuTe

A relaxed ZrCuTe crystal (GGA-PBE, Alexandria via LeMat-Bulk).

Calculated values
SG = P4/nmm (129)
crystal system = tetragonal
excess energy over the best structure of this formula in the dataset = 0.143 eV per formula unit
formation energy from raw total energies = -436 meV/atom
raw total energy = -5.6977 eV/atom

Cell: 4.343 4.343 6.759 Å, 90.00 90.00 90.00°
Fractional coordinates of all 6 atoms:
Te 0.500 0.000 0.187
Zr 0.000 0.000 0.500
Zr 0.500 0.500 0.500
Cu 0.500 0.000 0.780
Te 0.000 0.500 0.813
Cu 0.000 0.500 0.220



18.
# ZrCuTe3

A relaxed ZrCuTe3 crystal (GGA-PBE, Alexandria via LeMat-Bulk).

Calculated values
SG = P2_1/m (11)
crystal system = monoclinic
excess energy over the best structure of this formula in the dataset = 0.000 eV per formula unit
formation energy from raw total energies = -479 meV/atom
raw total energy = -4.8932 eV/atom

Cell: 4.012 7.312 12.455 Å, 127.34 90.00 90.00°
Fractional coordinates of all 10 atoms:
Cu 0.750 0.845 0.422
Te 0.250 0.265 0.007
Te 0.750 0.735 0.993
Te 0.250 0.906 0.317
Te 0.250 0.581 0.658
Zr 0.250 0.091 0.162
Te 0.750 0.094 0.683
Cu 0.250 0.155 0.578
Zr 0.750 0.909 0.838
Te 0.750 0.419 0.342



19.
# Zr2CuTe

A relaxed Zr2CuTe crystal (GGA-PBE, Alexandria via LeMat-Bulk).

Calculated values
SG = C2/m (12)
crystal system = monoclinic
formation energy from raw total energies = -319 meV/atom
raw total energy = -6.4026 eV/atom

Cell: 3.882 3.882 7.156 Å, 74.39 74.39 59.72°
Fractional coordinates of all 4 atoms:
Zr 0.988 0.988 0.036
Te 0.750 0.750 0.750
Cu 0.250 0.250 0.250
Zr 0.512 0.512 0.464



20.
# Zr3CuTe

A relaxed Zr3CuTe crystal (GGA-PBE, Alexandria via LeMat-Bulk).

Calculated values
SG = Pm-3m (221)
crystal system = cubic
excess energy over the best structure of this formula in the dataset = 0.000 eV per formula unit
formation energy from raw total energies = 215 meV/atom
raw total energy = -6.3616 eV/atom

Cell: 4.938 4.938 4.938 Å, 90.00 90.00 90.00°
Fractional coordinates of all 5 atoms:
Zr 0.500 0.000 0.000
Zr 0.000 0.500 0.000
Te 0.500 0.500 0.500
Zr 0.000 0.000 0.500
Cu 0.000 0.000 0.000